Dy12Er2Tm | PBE-GGA | relaxed

Results
- Total magnetic moment: 0.0 μB/f.u.
- Crystal system: monoclinic
- Formation enthalpy at 0 K: 1.79 eV/f.u.

Unit cell a=3.551 b=5.337 c=24.966 alpha=90.00 beta=94.05 gamma=90.00
Space group P2/m (No. 10)
One atom of each set of equivalent atoms:
Dy 0.036 0.000 0.069 x2
Dy 0.106 0.000 0.206 x2
Dy 0.171 0.000 0.334 x2
Dy 0.215 0.500 0.426 x2
Dy 0.275 0.000 0.554 x2
Dy 0.429 0.500 0.862 x2
Er 0.356 0.500 0.719 x2
Tm 0.500 0.500 0.000 x1